# 1
Computed, not measured: a relaxed Cd2AgRh crystal at the PBE level of DFT.

Structure (POSCAR):
```
Cd2AgRh
1.0
-0.003 3.966 0.957
-3.265 0.572 -2.379
-7.387 0.463 6.752
Cd Rh Ag
4 2 2
Direct
0.375 0.383 0.750
0.617 0.125 0.250
0.875 0.867 0.750
0.133 0.625 0.250
0.250 0.750 0.500
0.500 0.500 0.000
0.000 0.000 0.000
0.750 0.250 0.500
```

Calculated values
Calculated formation energy = 253 meV/atom
Crystal system = tetragonal



# 2
Computed, not measured: a relaxed SrCd2GaPd crystal at the PBE level of DFT.

Structure (POSCAR):
```
SrCd2GaPd
1.0
-2.877 -3.330 -2.843
-1.920 -2.098 4.400
-3.648 3.205 -0.063
Cd Sr Ga Pd
2 1 1 1
Direct
0.500 0.000 0.000
0.000 0.500 0.000
0.500 0.500 0.500
0.000 0.000 0.500
0.000 0.000 0.000
```

Calculated values
Calculated formation energy = -306 meV/atom
Crystal system = tetragonal



# 3
Computed, not measured: a relaxed BaIn2Te crystal at the PBE level of DFT.

Structure (POSCAR):
```
BaIn2Te
1.0
-1.365 2.201 3.552
3.532 -1.387 2.217
3.644 5.787 -2.185
Ba In Te
1 2 1
Direct
0.500 0.500 0.725
0.500 0.500 0.219
0.000 0.000 0.059
0.000 0.000 0.496
```

Calculated values
Formation energy (no corrections) = -0.5667 eV per atom
Crystal system = tetragonal



In eV per atom, the E values for the records above are, in order, -2.7555; -2.6521; -3.2020.